Here is Sr3InPt3 after structural relaxation from the Alexandria database. Energies are from PBE.

**Crystal system**: monoclinic
**ΔH_f (0 K)**: -529 kJ/mol of formula units

Unit cell a=11.739 b=4.484 c=15.174 alpha=90.00 beta=110.79 gamma=90.00
Space group C2/m (No. 12)
Symmetry-distinct sites (fractional):
Sr: 0.013 0.000 0.374 x4
Sr: 0.105 0.000 0.926 x4
Sr: 0.238 0.000 0.222 x4
In: 0.234 0.500 0.407 x4
Pt: 0.043 0.500 0.235 x4
Pt: 0.108 0.500 0.077 x4
Pt: 0.122 0.500 0.542 x4

***

Here is ZrCd2As after structural relaxation from the Alexandria database. Energies are from PBE.

**Crystal system**: tetragonal
**ΔH_f (0 K)**: -61 kJ/mol of formula units

Unit cell a=4.254 b=4.254 c=9.175 alpha=90.00 beta=90.00 gamma=90.00
Space group I-4m2 (No. 119)
Symmetry-distinct sites (fractional):
Zr: 0.000 0.000 0.000 x2
Cd: 0.000 0.000 0.500 x2
Cd: 0.000 0.500 0.250 x2
As: 0.000 0.500 0.750 x2

***

Here is Pu3NiGe6Pd2 after structural relaxation from the Alexandria database. Energies are from PBE.

**Crystal system**: trigonal
**ΔH_f (0 K)**: -327 kJ/mol of formula units

Unit cell a=5.7921 b=5.7921 c=8.0933 alpha=90.00 beta=90.00 gamma=120.00
Space group P-3m1 (No. 164)
Symmetry-distinct sites (fractional):
Pu: 0.0000 0.0000 0.0000 x1
Pu: 0.3333 0.6667 0.6218 x2
Ni: 0.0000 0.0000 0.5000 x1
Ge: 0.1787 0.3574 0.2930 x6
Pd: 0.3333 0.6667 0.0319 x2

***

Here is BeGaCo2Ir after structural relaxation from the Alexandria database. Energies are from PBE.

**Crystal system**: tetragonal
**ΔH_f (0 K)**: 618 kJ/mol of formula units

Unit cell a=4.623 b=4.623 c=4.661 alpha=90.00 beta=90.00 gamma=90.00
Space group P4/mmm (No. 123)
Symmetry-distinct sites (fractional):
Be: 0.000 0.000 0.000 x1
Ga: 0.500 0.500 0.000 x1
Co: 0.000 0.500 0.500 x2
Ir: 0.500 0.500 0.500 x1